Computed, not measured: Tl3NiPt after structural relaxation at the GGA-PBE level of DFT.

## Properties
total magnetic moment = 0.141 μB per atom
energy relative to the lowest polymorph listed for this composition = 0.168 eV per atom
DOS(E_F) = 1.834 states/eV/atom
crystal system = cubic
E_form = 565 meV/atom

Unit cell a=5.3379 b=5.3379 c=5.3379 alpha=90.00 beta=90.00 gamma=90.00
Sites, in units of the cell vectors:
1 Tl 0.0000 0.0000 0.5000
2 Tl 0.0000 0.5000 0.0000
3 Tl 0.5000 0.0000 0.0000
4 Ni 0.5000 0.5000 0.5000
5 Pt 0.0000 0.0000 0.0000

=====

Computed, not measured: BaNbAs2Br after structural relaxation at the GGA-PBE level of DFT.

## Properties
uncorrected formation energy = 1171 meV per atom
total magnetic moment = 0.434 μB per atom
energy relative to the lowest polymorph listed for this composition = 1.896 eV per atom
DOS(E_F) = 1.700 states/eV/atom
crystal system = tetragonal

Unit cell a=5.7988 b=5.7988 c=5.8742 alpha=90.00 beta=90.00 gamma=90.00
Sites, in units of the cell vectors:
1 Ba 0.0000 0.0000 0.0000
2 Nb 0.5000 0.5000 0.5000
3 As 0.0000 0.5000 0.0000
4 As 0.5000 0.0000 0.0000
5 Br 0.0000 0.0000 0.5000